1.
Y3TmSc2S6 after structural relaxation, computed with PBE-GGA.

a b c (Å): 6.615 11.501 6.657
angles (deg): 90.00 109.38 90.00
Space group C2/m (No. 12)
Asymmetric unit:
Y: 0.000 0.000 0.000
Y: 0.000 0.335 0.000
Tm: 0.000 0.500 0.500
Sc: 0.000 0.167 0.500
S: 0.239 0.000 0.735
S: 0.249 0.331 0.737

E_tot ... -7.045 eV per atom
Fermi-level density of states ... 5.539 states/eV/f.u.
Formation energy (no corrections) ... -1.94 eV per atom

2.
Cs4K2Te after structural relaxation, computed with PBE-GGA.

a b c (Å): 7.431 7.431 24.480
angles (deg): 90.00 90.00 90.00
Space group I4/mmm (No. 139)
Asymmetric unit:
Cs: 0.000 0.000 0.150
Cs: 0.000 0.500 0.000
K: 0.000 0.000 0.343
Te: 0.000 0.000 0.000

Energy above the lowest structure with this stoichiometry ... 34.5 meV/atom
E_tot ... -1.600 eV per atom
Fermi-level density of states ... 3.086 states/eV/f.u.
Formation energy (no corrections) ... -0.35 eV per atom

3.
Sc3Cd2Ag2 after structural relaxation, computed with PBE-GGA.

a b c (Å): 3.391 26.880 3.332
angles (deg): 90.00 90.00 90.00
Space group Cmmm (No. 65)
Asymmetric unit:
Sc: 0.000 0.000 0.000
Sc: 0.000 0.131 0.000
Cd: 0.000 0.295 0.500
Ag: 0.000 0.435 0.500

E_tot ... -3.985 eV per atom
Energy relative to the elements ... -196 meV per atom
Fermi-level density of states ... 5.644 states/eV/f.u.

4.
SiTcAg2 after structural relaxation, computed with PBE-GGA.

a b c (Å): 2.996 4.324 4.876
angles (deg): 90.00 90.00 90.00
Space group Pmmm (No. 47)
Asymmetric unit:
Si: 0.000 0.000 0.000
Tc: 0.500 0.500 0.000
Ag: 0.000 0.500 0.500
Ag: 0.500 0.000 0.500

E_tot ... -5.110 eV per atom
Fermi-level density of states ... 1.531 states/eV/f.u.
Formation energy (no corrections) ... 0.26 eV per atom

5.
Sr2Ga4Au5 after structural relaxation, computed with PBE-GGA.

a b c (Å): 6.359 7.894 9.816
angles (deg): 90.00 90.00 90.00
Space group Immm (No. 71)
Asymmetric unit:
Sr: 0.000 0.248 0.000
Ga: 0.000 0.217 0.355
Au: 0.000 0.500 0.500
Au: 0.227 0.500 0.238

E_tot ... -3.362 eV per atom
Energy relative to the elements ... -466 meV per atom
Fermi-level density of states ... 4.144 states/eV/f.u.

6.
NaGa3Te5 after structural relaxation, computed with PBE-GGA.

a b c (Å): 14.9496 14.9496 18.0725
angles (deg): 90.00 90.00 120.00
Space group R32 (No. 155, hexagonal axes)
Asymmetric unit:
Na: 0.0000 0.0000 0.0000
Na: 0.0000 0.7432 0.5000
Ga: 0.0042 0.4129 0.7481
Ga: 0.0751 0.1898 0.2631
Te: 0.0000 0.0000 0.3270
Te: 0.0000 0.1730 0.5000
Te: 0.0000 0.5768 0.0000
Te: 0.0345 0.4655 0.3956
Te: 0.0651 0.8731 0.1221

E_tot ... -3.373 eV per atom
Formation energy (no corrections) ... -0.47 eV per atom